Below is Hf2CoNiGe after structural relaxation, with properties calculated at the PBE-GGA level.

Cell: 4.937 4.161 4.937 Å, 90.00 90.00 90.00°
Each line ends with the local moment (μB).
Fractional coordinates of all 5 atoms:
Ge (0.000, 0.000, 0.000)  0.00
Co (0.500, 0.500, 0.500)  0.11
Ni (0.000, 0.500, 0.000)  -0.01
Hf (0.500, 0.000, 0.000)  -0.01
Hf (0.000, 0.000, 0.500)  0.00

formation energy from the elements	757	meV per atom